[1]
A relaxed HoZr5Ru6 crystal, computed with PBE. Values from VASP.

**Magnetization**: 0.00 μB per cell
**Crystal system**: orthorhombic
**ρ**: 9.5 g/cm³
**E**: -9.193 eV per atom
**Formation enthalpy at 0 K**: -708 kJ/mol of formula units

Cell and atoms, written as Quantum ESPRESSO input:
```
&SYSTEM
  ibrav = 0, nat = 12, ntyp = 3
/
ATOMIC_SPECIES
Ru 101.07 Ru.upf
Ho 164.93 Ho.upf
Zr 91.22 Zr.upf
CELL_PARAMETERS angstrom
-3.148 2.300 2.539
-2.777 -5.716 1.734
2.652 0.786 6.837
ATOMIC_POSITIONS angstrom
Ru -3.790 -2.093 5.722
Ru -2.418 0.731 4.865
Ru -2.287 -0.318 1.715
Ru -3.638 -3.098 2.559
Ru -0.855 -3.360 6.245
Ru 0.517 -0.537 5.389
Ho 0.000 0.000 0.000
Zr -1.719 -0.801 7.119
Zr -0.162 1.028 3.130
Zr -1.389 -2.858 0.867
Zr -0.334 2.058 6.246
Zr -1.555 -1.829 3.992
```

=====

[2]
A relaxed Rb2Cd5Pt crystal, computed with PBE. Values from VASP.

**Magnetization**: 0.00 μB per cell
**Crystal system**: tetragonal
**ρ**: 5.7 g/cm³
**E**: -1.666 eV per atom
**Formation enthalpy at 0 K**: -75 kJ/mol of formula units

Cell and atoms, written as Quantum ESPRESSO input:
```
&SYSTEM
  ibrav = 0, nat = 8, ntyp = 3
/
ATOMIC_SPECIES
Rb 85.47 Rb.upf
Cd 112.41 Cd.upf
Pt 195.08 Pt.upf
CELL_PARAMETERS angstrom
6.633 0.000 -0.001
0.000 6.633 -0.001
-3.317 -3.317 6.095
ATOMIC_POSITIONS angstrom
Rb 0.000 3.315 3.498
Rb 3.315 0.000 3.498
Cd 5.009 1.624 0.365
Cd 1.624 1.624 0.364
Cd 5.010 5.010 0.365
Cd 1.624 5.009 0.365
Cd 3.318 3.318 2.155
Pt 3.316 3.316 4.951
```

=====

[3]
A relaxed PmIn3Pt3 crystal, computed with PBE. Values from VASP.

**Magnetization**: 0.00 μB per cell
**Crystal system**: hexagonal
**ρ**: 11.3 g/cm³
**Energy above the most stable polymorph in this dataset**: 0 meV per atom
**E**: -5.070 eV per atom
**Formation enthalpy at 0 K**: -424 kJ/mol of formula units

Cell and atoms, written as Quantum ESPRESSO input:
```
&SYSTEM
  ibrav = 0, nat = 14, ntyp = 3
/
ATOMIC_SPECIES
Pm 145.00 Pm.upf
In 114.82 In.upf
Pt 195.08 Pt.upf
CELL_PARAMETERS angstrom
4.472 0.000 0.000
0.000 7.834 -4.472
0.000 -0.041 9.023
ATOMIC_POSITIONS angstrom
Pm 3.354 2.584 4.525
Pm 1.118 5.208 0.026
In 3.354 5.929 -3.001
In 3.354 2.227 0.917
In 3.354 7.471 2.165
In 1.118 1.864 7.552
In 1.118 5.565 3.634
In 1.118 0.321 2.386
Pt 3.354 7.381 -0.718
Pt 3.354 3.476 -1.483
Pt 3.354 4.769 2.281
Pt 1.118 0.411 5.269
Pt 1.118 4.317 6.034
Pt 1.118 3.024 2.270
```

=====

[4]
A relaxed CaTc2Pb crystal, computed with PBE. Values from VASP.

**Magnetization**: 0.00 μB per cell
**Crystal system**: trigonal
**ρ**: 7.6 g/cm³
**E**: -6.414 eV per atom
**Formation enthalpy at 0 K**: 76 kJ/mol of formula units

Cell and atoms, written as Quantum ESPRESSO input:
```
&SYSTEM
  ibrav = 0, nat = 4, ntyp = 3
/
ATOMIC_SPECIES
Pb 207.20 Pb.upf
Ca 40.08 Ca.upf
Tc 98.00 Tc.upf
CELL_PARAMETERS angstrom
4.197 -0.003 0.005
2.100 3.634 0.005
2.091 1.206 6.382
ATOMIC_POSITIONS angstrom
Pb 6.290 3.627 5.304
Ca 4.195 2.419 2.923
Tc 6.296 3.631 0.552
Tc 2.098 1.210 0.820
```

=====

[5]
A relaxed Be2CdTc crystal, computed with PBE. Values from VASP.

**Magnetization**: 0.00 μB per cell
**Crystal system**: trigonal
**ρ**: 6.8 g/cm³
**E**: -4.323 eV per atom
**Formation enthalpy at 0 K**: 139 kJ/mol of formula units

Cell and atoms, written as Quantum ESPRESSO input:
```
&SYSTEM
  ibrav = 0, nat = 4, ntyp = 3
/
ATOMIC_SPECIES
Be 9.01 Be.upf
Tc 98.00 Tc.upf
Cd 112.41 Cd.upf
CELL_PARAMETERS angstrom
8.450 -0.008 -0.005
7.997 2.731 -0.005
7.997 1.324 2.389
ATOMIC_POSITIONS angstrom
Be 0.249 0.041 0.024
Be 11.972 1.983 1.166
Tc 18.333 3.036 1.785
Cd 6.111 1.012 0.595
```

=====

[6]
A relaxed Y8In2Ru crystal, computed with PBE. Values from VASP.

**Magnetization**: 0.00 μB per cell
**Crystal system**: monoclinic
**ρ**: 5.6 g/cm³
**E**: -6.322 eV per atom
**Formation enthalpy at 0 K**: -297 kJ/mol of formula units

Cell and atoms, written as Quantum ESPRESSO input:
```
&SYSTEM
  ibrav = 0, nat = 11, ntyp = 3
/
ATOMIC_SPECIES
Y 88.91 Y.upf
In 114.82 In.upf
Ru 101.07 Ru.upf
CELL_PARAMETERS angstrom
5.237 0.000 -1.414
-0.541 6.682 -2.004
-0.329 -0.767 9.189
ATOMIC_POSITIONS angstrom
Y 2.842 2.604 0.121
Y 1.593 -0.050 5.902
Y 0.758 1.433 2.807
Y -0.366 5.161 -1.354
Y 3.610 4.482 2.964
Y 2.774 5.965 -0.130
Y 1.525 3.311 5.650
Y 4.733 0.754 7.125
In 0.452 4.366 1.675
In 3.915 1.549 4.096
Ru 2.619 0.000 -0.707
```

=====

[7]
A relaxed RbY2FeSe crystal, computed with PBE. Values from VASP.

**Magnetization**: 2.98 μB per cell
**Crystal system**: tetragonal
**ρ**: 3.8 g/cm³
**ΔE_f (raw)**: 1601 meV per atom
**E**: -3.568 eV per atom

Cell and atoms, written as Quantum ESPRESSO input:
```
&SYSTEM
  ibrav = 0, nat = 5, ntyp = 4
/
ATOMIC_SPECIES
Y 88.91 Y.upf
Se 78.96 Se.upf
Rb 85.47 Rb.upf
Fe 55.84 Fe.upf
CELL_PARAMETERS angstrom
-4.752 2.737 -1.065
-2.891 -4.577 1.135
-0.320 1.532 5.362
ATOMIC_POSITIONS angstrom
Y -0.160 0.766 2.681
Y -2.376 1.368 -0.533
Se -1.445 -2.289 0.568
Rb 0.000 0.000 0.000
Fe -3.981 -0.154 2.716
```

=====

[8]
A relaxed LuSiH crystal, computed with PBE. Values from VASP.

**Magnetization**: 0.00 μB per cell
**Crystal system**: trigonal
**ρ**: 7.3 g/cm³
**E**: -4.793 eV per atom

Cell and atoms, written as Quantum ESPRESSO input:
```
&SYSTEM
  ibrav = 0, nat = 3, ntyp = 3
/
ATOMIC_SPECIES
H 1.01 H.upf
Si 28.09 Si.upf
Lu 174.97 Lu.upf
CELL_PARAMETERS angstrom
4.547 0.000 0.000
0.000 3.440 0.000
0.000 -1.720 2.980
ATOMIC_POSITIONS angstrom
H 0.763 0.000 1.986
Si 3.029 1.720 0.993
Lu 0.755 0.000 0.000
```

=====

[9]
A relaxed Ac2AgAs crystal, computed with PBE. Values from VASP.

**Magnetization**: 0.73 μB per cell
**Crystal system**: cubic
**ρ**: 8.8 g/cm³
**Energy above the most stable polymorph in this dataset**: 153 meV per atom
**E**: -4.529 eV per atom
**Formation enthalpy at 0 K**: -231 kJ/mol of formula units

Cell and atoms, written as Quantum ESPRESSO input:
```
&SYSTEM
  ibrav = 0, nat = 4, ntyp = 3
/
ATOMIC_SPECIES
Ac 227.00 Ac.upf
As 74.92 As.upf
Ag 107.87 Ag.upf
CELL_PARAMETERS angstrom
5.530 0.000 0.000
2.765 4.789 0.000
2.765 1.596 4.515
ATOMIC_POSITIONS angstrom
Ac 2.765 1.596 1.129
Ac 8.295 4.789 3.386
As 0.000 0.000 0.000
Ag 5.530 3.193 2.258
```

=====

[10]
A relaxed Pm8Dy crystal, computed with PBE. Values from VASP.

**Magnetization**: 0.00 μB per cell
**Crystal system**: tetragonal
**ρ**: 7.2 g/cm³
**E**: -4.720 eV per atom
**Formation enthalpy at 0 K**: 12 kJ/mol of formula units

Cell and atoms, written as Quantum ESPRESSO input:
```
&SYSTEM
  ibrav = 0, nat = 9, ntyp = 2
/
ATOMIC_SPECIES
Pm 145.00 Pm.upf
Dy 162.50 Dy.upf
CELL_PARAMETERS angstrom
5.145 0.000 0.000
2.572 7.718 0.000
2.572 0.000 7.718
ATOMIC_POSITIONS angstrom
Pm 2.572 0.000 2.563
Pm 5.145 0.000 5.156
Pm 5.145 5.156 0.000
Pm 2.572 5.150 2.568
Pm 5.145 5.150 5.150
Pm 5.145 2.568 2.568
Pm 2.572 2.568 5.150
Pm 2.572 2.563 0.000
Dy 0.000 0.000 0.000
```

=====

[11]
A relaxed AcTmC3N6 crystal, computed with PBE. Values from VASP.

**Magnetization**: 0.00 μB per cell
**Crystal system**: trigonal
**ρ**: 4.3 g/cm³
**ΔE_f (raw)**: -771 meV per atom
**E**: -8.608 eV per atom

Cell and atoms, written as Quantum ESPRESSO input:
```
&SYSTEM
  ibrav = 0, nat = 11, ntyp = 4
/
ATOMIC_SPECIES
Ac 227.00 Ac.upf
Tm 168.93 Tm.upf
C 12.01 C.upf
N 14.01 N.upf
CELL_PARAMETERS angstrom
6.065 -1.319 1.327
-1.282 6.073 -1.327
1.282 -1.290 6.081
ATOMIC_POSITIONS angstrom
Ac 2.349 2.420 2.349
Tm -0.764 5.552 -0.803
C 3.461 3.085 5.658
C 5.655 1.288 1.704
C 1.677 -0.882 3.476
N 0.475 1.782 0.610
N 2.998 4.147 0.468
N 1.464 -0.010 2.629
N 4.784 2.135 1.481
N 2.620 3.303 4.780
N 0.618 4.304 2.976
```

=====

[12]
A relaxed Ta3TlS6 crystal, computed with PBE. Values from VASP.

**Magnetization**: 0.00 μB per cell
**Crystal system**: monoclinic
**ρ**: 7.9 g/cm³
**ΔE_f (raw)**: -826 meV per atom
**E**: -7.095 eV per atom

Cell and atoms, written as Quantum ESPRESSO input:
```
&SYSTEM
  ibrav = 0, nat = 20, ntyp = 3
/
ATOMIC_SPECIES
Ta 180.95 Ta.upf
Tl 204.38 Tl.upf
S 32.06 S.upf
CELL_PARAMETERS angstrom
3.403 0.000 0.000
0.000 11.021 -3.059
0.000 -1.065 10.844
ATOMIC_POSITIONS angstrom
Ta 2.552 4.242 8.110
Ta 0.851 5.714 -0.325
Ta 2.552 6.690 3.527
Ta 0.851 3.267 4.258
Ta 2.552 1.255 0.372
Ta 0.851 8.701 7.414
Tl 2.552 0.129 7.019
Tl 0.851 9.828 0.766
S 2.552 4.860 5.281
S 0.851 5.097 2.505
S 2.552 10.076 -1.659
S 0.851 -0.120 9.445
S 2.552 3.933 -0.628
S 0.851 6.024 8.414
S 2.552 7.145 0.826
S 0.851 2.811 6.959
S 2.552 1.572 4.433
S 0.851 8.384 3.352
S 2.552 7.877 5.870
S 0.851 2.079 1.915
```